## La3PO7 (PBE-GGA)

Data for a relaxed La3PO7 crystal.

As for the space group: C2/m. The calculation puts the energy relative to the elements, uncorrected at -3.26 eV/atom.

The structure in extended XYZ format:
```
66
Lattice="-8.086 -2.593 -4.352 3.779 -8.686 -1.145 -5.835 -6.746 8.773" Properties=species:S:1:pos:R:3 pbc="T T T"
La -3.843 -9.728 4.875
O -3.132 -2.839 0.707
O -0.913 -3.978 1.307
O -3.556 -11.261 6.757
P -6.108 -8.093 7.221
La -0.920 -10.956 2.785
O -3.055 -5.303 1.228
O -5.682 -3.822 -0.739
O -10.944 -10.769 5.193
O -10.707 -11.012 2.192
La -6.202 -14.739 4.967
O -5.141 -8.423 3.015
La -6.647 -8.538 -1.658
O -7.708 -14.855 0.294
La -9.087 -6.762 0.578
O -6.092 -6.938 -3.431
O -2.141 -12.266 1.116
O -4.944 -13.850 6.814
O -6.461 -9.183 0.984
La -5.547 -5.518 0.944
O -9.232 -8.462 2.202
O -7.987 -10.578 3.940
O -4.883 -10.321 -1.545
O -7.006 -6.444 -0.664
O -5.486 -6.694 7.580
La -7.539 -7.830 3.876
O -1.207 -9.422 0.903
O -4.261 -7.938 0.684
O -5.409 -9.158 8.099
O -2.812 -11.759 3.937
P -7.814 -14.293 1.752
O -7.091 -11.556 -1.236
La -2.894 -13.278 5.723
O -8.814 -8.839 -0.687
La -10.256 -12.657 3.871
La -3.725 -2.936 -1.850
O -9.620 -8.147 5.118
La -1.869 -7.406 1.938
O -1.952 -8.925 3.723
O -7.407 -11.057 6.396
O -7.966 -12.956 4.855
O -5.853 -8.390 5.717
O -8.588 -15.341 2.624
La 0.340 -5.024 -0.751
La -8.622 -10.510 1.060
O -0.921 -9.593 -2.034
O -4.035 -14.438 3.996
P -5.592 -11.732 -1.603
O -2.687 -3.607 3.090
P -5.035 -8.985 1.557
P -7.256 -11.545 4.911
O -5.440 -12.218 -3.089
La -2.592 -10.620 -0.562
O -5.758 -11.722 4.542
O -4.248 -10.320 1.582
O -8.601 -12.959 1.727
La -7.066 -4.908 -2.469
O -6.388 -14.095 2.326
La -11.080 -9.074 3.510
La 0.733 -8.913 -0.362
La -4.227 -12.767 2.248
O 0.181 -6.833 0.846
O -7.395 -6.130 2.252
O -7.628 -8.018 7.500
P -2.433 -3.904 1.585
O -4.861 -12.701 -0.633
```